Record 1
The following is a GGA-PBE calculation of a relaxed Zr4Mo2Au3C3 crystal, from OQMD via LeMat-Bulk.

Values from the calculation:
M_tot: 0.00 μB/f.u.

Geometry as CIF:
```
data_Zr4Mo2Au3C3
_cell_length_a 9.8204
_cell_length_b 5.6922
_cell_length_c 14.2186
_cell_angle_alpha 90.00
_cell_angle_beta 103.48
_cell_angle_gamma 90.00
_symmetry_space_group_name_H-M 'C 1 2/c 1'
_symmetry_Int_Tables_number 15
loop_
_symmetry_equiv_pos_as_xyz
'x,y,z'
'-x,-y,-z'
'-x,y,-z+1/2'
'x,-y,z+1/2'
'x+1/2,y+1/2,z'
'-x+1/2,-y+1/2,-z'
'-x+1/2,y+1/2,-z+1/2'
'x+1/2,-y+1/2,z+1/2'
loop_
_atom_site_label
_atom_site_type_symbol
_atom_site_fract_x
_atom_site_fract_y
_atom_site_fract_z
_atom_site_occupancy
Zr1 Zr 0.1163 0.0753 0.0974 1
Zr2 Zr 0.2136 0.0882 0.4026 1
Mo1 Mo 0.0647 0.4132 0.9307 1
Au1 Au 0.0000 0.1296 0.7500 1
Au2 Au 0.1448 0.4361 0.2481 1
C1 C 0.0820 0.2525 0.5000 1
C2 C 0.2500 0.2500 0.0000 1
```

***

Record 2
The following is a GGA-PBE calculation of a relaxed Nb8Au2C3N3 crystal, from OQMD via LeMat-Bulk.

Values from the calculation:
M_tot: 0.01 μB/f.u.

Geometry as CIF:
```
data_Nb8Au2C3N3
_cell_length_a 3.1822
_cell_length_b 3.1822
_cell_length_c 24.0490
_cell_angle_alpha 90.00
_cell_angle_beta 90.00
_cell_angle_gamma 120.00
_symmetry_space_group_name_H-M 'P -3 m 1'
_symmetry_Int_Tables_number 164
_symmetry_space_group_name_Hall '-P 3 2"'
loop_
_atom_site_label
_atom_site_type_symbol
_atom_site_fract_x
_atom_site_fract_y
_atom_site_fract_z
_atom_site_occupancy
Nb1 Nb 0.0000 0.0000 0.1521 1
Nb2 Nb 0.0000 0.0000 0.3420 1
Nb3 Nb 0.3333 0.6667 0.5556 1
Nb4 Nb 0.3333 0.6667 0.9432 1
Au1 Au 0.3333 0.6667 0.7538 1
C1 C 0.0000 0.0000 0.5000 1
C2 C 0.3333 0.6667 0.3901 1
N1 N 0.0000 0.0000 0.0000 1
N2 N 0.3333 0.6667 0.1085 1
```

***

Record 3
The following is a GGA-PBE calculation of a relaxed Nb4Au2CN crystal, from OQMD via LeMat-Bulk.

Values from the calculation:
M_tot: 0.00 μB/f.u.

Geometry as CIF:
```
data_Nb4Au2CN
_cell_length_a 3.1855
_cell_length_b 3.1855
_cell_length_c 13.7886
_cell_angle_alpha 90.00
_cell_angle_beta 90.00
_cell_angle_gamma 120.00
_symmetry_space_group_name_H-M 'P -3 m 1'
_symmetry_Int_Tables_number 164
_symmetry_space_group_name_Hall '-P 3 2"'
loop_
_atom_site_label
_atom_site_type_symbol
_atom_site_fract_x
_atom_site_fract_y
_atom_site_fract_z
_atom_site_occupancy
Nb1 Nb 0.3333 0.6667 0.0861 1
Nb2 Nb 0.3333 0.6667 0.4169 1
Au1 Au 0.3333 0.6667 0.7476 1
C1 C 0.0000 0.0000 0.0000 1
N1 N 0.0000 0.0000 0.5000 1
```

***

Record 4
The following is a GGA-PBE calculation of a relaxed Nb3AuCN crystal, from OQMD via LeMat-Bulk.

Values from the calculation:
M_tot: 0.00 μB/f.u.

Geometry as CIF:
```
data_Nb3AuCN
_cell_length_a 3.1657
_cell_length_b 3.1657
_cell_length_c 19.1065
_cell_angle_alpha 90.00
_cell_angle_beta 90.00
_cell_angle_gamma 120.00
_symmetry_space_group_name_H-M 'P -3 m 1'
_symmetry_Int_Tables_number 164
_symmetry_space_group_name_Hall '-P 3 2"'
loop_
_atom_site_label
_atom_site_type_symbol
_atom_site_fract_x
_atom_site_fract_y
_atom_site_fract_z
_atom_site_occupancy
Nb1 Nb 0.0000 0.0000 0.0000 1
Nb2 Nb 0.0000 0.0000 0.5000 1
Nb3 Nb 0.3333 0.6667 0.1297 1
Nb4 Nb 0.3333 0.6667 0.3700 1
Au1 Au 0.0000 0.0000 0.2494 1
C1 C 0.3333 0.6667 0.5708 1
N1 N 0.3333 0.6667 0.9322 1
```

***

Record 5
The following is a GGA-PBE calculation of a relaxed RbAuC2N2 crystal, from OQMD via LeMat-Bulk.

Geometry as CIF:
```
data_RbAuC2N2
_cell_length_a 18.4841
_cell_length_b 8.8947
_cell_length_c 13.2700
_cell_angle_alpha 90.00
_cell_angle_beta 107.76
_cell_angle_gamma 90.00
_symmetry_space_group_name_H-M 'C 1 2/c 1'
_symmetry_Int_Tables_number 15
loop_
_symmetry_equiv_pos_as_xyz
'x,y,z'
'-x,-y,-z'
'-x,y,-z+1/2'
'x,-y,z+1/2'
'x+1/2,y+1/2,z'
'-x+1/2,-y+1/2,-z'
'-x+1/2,y+1/2,-z+1/2'
'x+1/2,-y+1/2,z+1/2'
loop_
_atom_site_label
_atom_site_type_symbol
_atom_site_fract_x
_atom_site_fract_y
_atom_site_fract_z
_atom_site_occupancy
Rb1 Rb 0.1721 0.1006 0.4784 1
Rb2 Rb 0.2483 0.2587 0.1833 1
Au1 Au 0.0000 0.0125 0.2500 1
Au2 Au 0.0000 0.4010 0.2500 1
Au3 Au 0.0160 0.3486 0.5761 1
C1 C 0.0884 0.2737 0.9413 1
C2 C 0.0929 0.0068 0.2057 1
C3 C 0.1125 0.3952 0.3116 1
C4 C 0.1238 0.3999 0.5933 1
N1 N 0.1489 0.0011 0.6817 1
N2 N 0.1490 0.2233 0.9510 1
N3 N 0.1788 0.3857 0.3487 1
N4 N 0.1885 0.4206 0.6038 1
```

***

Record 6
The following is a GGA-PBE calculation of a relaxed Sc8Au2C3N3 crystal, from OQMD via LeMat-Bulk.

Values from the calculation:
M_tot: 0.00 μB/f.u.

Geometry as CIF:
```
data_Sc8Au2C3N3
_cell_length_a 3.2827
_cell_length_b 3.2827
_cell_length_c 24.3692
_cell_angle_alpha 90.00
_cell_angle_beta 90.00
_cell_angle_gamma 120.00
_symmetry_space_group_name_H-M 'P -3 m 1'
_symmetry_Int_Tables_number 164
_symmetry_space_group_name_Hall '-P 3 2"'
loop_
_atom_site_label
_atom_site_type_symbol
_atom_site_fract_x
_atom_site_fract_y
_atom_site_fract_z
_atom_site_occupancy
Sc1 Sc 0.0000 0.0000 0.1534 1
Sc2 Sc 0.0000 0.0000 0.3393 1
Sc3 Sc 0.3333 0.6667 0.5553 1
Sc4 Sc 0.3333 0.6667 0.9490 1
Au1 Au 0.3333 0.6667 0.7571 1
C1 C 0.0000 0.0000 0.5000 1
C2 C 0.3333 0.6667 0.3834 1
N1 N 0.0000 0.0000 0.0000 1
N2 N 0.3333 0.6667 0.1084 1
```

***

| no. | final energy (eV per atom) |
| --- | --- |
| 1 | -8.279 |
| 2 | -9.329 |
| 3 | -8.537 |
| 4 | -9.031 |
| 5 | -6.626 |
| 6 | -7.864 |